Record 1
{
  "formula": "PmGePtRh",
  "functional": "PBE",
  "state": "relaxed",
  "n_ef_per_ev_cell": 3.3,
  "relative_energy_mev_per_atom": 133.7,
  "ef_mev_per_atom": -571,
  "total_energy_ev_per_atom": -6.261,
  "crystal_system": "cubic",
  "lattice": [[-2.9077, 0.8946, 3.6201], [-2.2819, -3.5503, 2.1328], [1.2131, -1.2958, 4.3829]],
  "species": ["Ge", "Rh", "Pt", "Pm"],
  "frac_coords": [[0.7500, 0.7500, 0.7500], [0.5000, 0.5000, 0.5000], [0.0000, 0.0000, 0.0000], [0.2500, 0.2500, 0.2500]]
}

***

Record 2
{
  "formula": "PmGePtRh",
  "functional": "PBE",
  "state": "relaxed",
  "n_ef_per_ev_cell": 2.1,
  "relative_energy_mev_per_atom": 0.0,
  "ef_mev_per_atom": -704,
  "total_energy_ev_per_atom": -6.394,
  "crystal_system": "orthorhombic",
  "lattice": [[4.0221, 0.0000, 0.0000], [0.0000, 4.1379, 0.0000], [-2.0110, -2.0690, 5.1668]],
  "species": ["Pm", "Ge", "Pt", "Rh"],
  "frac_coords": [[0.9675, 0.9675, 0.9351], [0.2158, 0.7158, 0.4317], [0.3386, 0.3386, 0.6773], [0.5934, 0.5934, 0.1867]]
}

***

Record 3
{
  "formula": "Pm2Ge4PtRh3",
  "functional": "PBE",
  "state": "relaxed",
  "n_ef_per_ev_cell": 5.0,
  "ef_mev_per_atom": -878,
  "total_energy_ev_per_atom": -6.485,
  "crystal_system": "tetragonal",
  "lattice": [[-3.5207, -1.8898, -1.4290], [-0.4246, -2.0148, 3.7107], [-5.6390, 7.7934, 3.5863]],
  "species": ["Pm", "Pm", "Ge", "Ge", "Ge", "Ge", "Pt", "Rh", "Rh", "Rh"],
  "frac_coords": [[0.5000, 0.0000, 0.2408], [0.0000, 0.5000, 0.7592], [0.5000, 0.5000, 0.0000], [0.0000, 0.0000, 0.0000], [0.5000, 0.0000, 0.6374], [0.0000, 0.5000, 0.3626], [0.5000, 0.5000, 0.5000], [0.0000, 0.0000, 0.5000], [0.5000, 0.0000, 0.8735], [0.0000, 0.5000, 0.1265]]
}